The following is a DFT calculation (PBE with a Hubbard U) of CoCl2F after structural relaxation.

a = 4.403 Å, b = 4.403 Å, c = 4.403 Å
α = 60.00°, β = 60.00°, γ = 60.00°
Atoms (fractional coordinates):
F  0.000  0.000  0.000
Co  0.500  0.500  0.500
Cl  0.250  0.250  0.250
Cl  0.750  0.750  0.750

Computed properties:
DOS(E_F) ... 5.52 states/eV/cell
Energy ... -0.1062 hartree per atom